[1]
Ho3H12Ru5: optimized geometry, PBE.

abc: 9.8777 9.8777 9.8777
angles: 109.47 109.47 109.47
With the nearest neighbours (Å) after each atom.
Element x y z (fractional)
H  0.0834  0.1734  0.4746  2 Ru 1.76-1.78
H  0.6988  0.5900  0.1734  2 Ru 1.76-1.78
H  0.3266  0.5254  0.4166  2 Ru 1.76-1.78
H  0.1734  0.0900  0.6988  2 Ru 1.76-1.78
H  0.6088  0.0254  0.1988  2 Ru 1.76-1.78
H  0.9100  0.0834  0.6088  2 Ru 1.76-1.78
H  0.4746  0.6734  0.0834  2 Ru 1.76-1.78
H  0.4166  0.0254  0.3266  2 Ru 1.76-1.78
H  0.9166  0.0900  0.8912  2 Ru 1.76-1.78
H  0.9100  0.8266  0.8012  2 Ru 1.76-1.78
H  0.5834  0.9746  0.6734  2 Ru 1.76-1.78
H  0.3012  0.8912  0.9746  2 Ru 1.76-1.78
H  0.4100  0.3012  0.3266  2 Ru 1.76-1.78
H  0.3266  0.8012  0.4100  2 Ru 1.76-1.78
H  0.5254  0.1988  0.1088  2 Ru 1.76-1.78
H  0.4166  0.3912  0.5900  2 Ru 1.76-1.78
H  0.4100  0.1088  0.5834  2 Ru 1.76-1.78
H  0.9166  0.8266  0.5254  2 Ru 1.76-1.78
H  0.6734  0.1988  0.5900  2 Ru 1.76-1.78
H  0.0900  0.1734  0.1988  2 Ru 1.76-1.78
H  0.8012  0.3266  0.9100  2 Ru 1.76-1.78
H  0.5254  0.3266  0.9166  2 Ru 1.76-1.78
H  0.1988  0.6734  0.0900  2 Ru 1.76-1.78
H  0.8912  0.3012  0.4746  2 Ru 1.76-1.78
H  0.0900  0.9166  0.3912  2 Ru 1.76-1.78
H  0.3912  0.4166  0.0900  2 Ru 1.76-1.78
H  0.6088  0.5834  0.9100  2 Ru 1.76-1.78
H  0.3912  0.9746  0.8012  2 Ru 1.76-1.78
H  0.5900  0.8912  0.4166  2 Ru 1.76-1.78
H  0.3012  0.4100  0.8266  2 Ru 1.76-1.78
H  0.1088  0.6988  0.5254  2 Ru 1.76-1.78
H  0.8266  0.9166  0.0254  2 Ru 1.76-1.78
H  0.0254  0.6088  0.6988  2 Ru 1.76-1.78
H  0.5900  0.6988  0.6734  2 Ru 1.76-1.78
H  0.5834  0.6088  0.4100  2 Ru 1.76-1.78
H  0.4746  0.8012  0.8912  2 Ru 1.76-1.78
H  0.6988  0.1088  0.0254  2 Ru 1.76-1.78
H  0.6734  0.4746  0.5834  2 Ru 1.76-1.78
H  0.1988  0.5254  0.6088  2 Ru 1.76-1.78
H  0.8912  0.5900  0.9166  2 Ru 1.76-1.78
H  0.8266  0.9100  0.3012  2 Ru 1.76-1.78
H  0.0834  0.9100  0.1088  2 Ru 1.76-1.78
H  0.1088  0.4100  0.0834  2 Ru 1.76-1.78
H  0.8012  0.4746  0.3912  2 Ru 1.76-1.78
H  0.9746  0.3912  0.3012  2 Ru 1.76-1.78
H  0.1734  0.0834  0.9746  2 Ru 1.76-1.78
H  0.9746  0.5834  0.1734  2 Ru 1.76-1.78
H  0.0254  0.4166  0.8266  2 Ru 1.76-1.78
Ru  0.1250  0.3750  0.2500  4 H 1.76
Ru  0.3750  0.2500  0.1250  4 H 1.76
Ru  0.5000  0.0000  0.0000  6 H 1.78
Ru  0.8750  0.2500  0.6250  4 H 1.76
Ru  0.0000  0.0000  0.5000  6 H 1.78
Ru  0.5000  0.0000  0.5000  6 H 1.78
Ru  0.2500  0.3750  0.6250  4 H 1.76
Ru  0.0000  0.5000  0.0000  6 H 1.78
Ru  0.0000  0.0000  0.0000  6 H 1.78
Ru  0.7500  0.1250  0.8750  4 H 1.76
Ru  0.6250  0.8750  0.2500  4 H 1.76
Ru  0.8750  0.6250  0.7500  4 H 1.76
Ru  0.5000  0.5000  0.5000  6 H 1.78
Ru  0.6250  0.7500  0.8750  4 H 1.76
Ru  0.3750  0.1250  0.7500  4 H 1.76
Ru  0.0000  0.5000  0.5000  6 H 1.78
Ru  0.2500  0.8750  0.1250  4 H 1.76
Ru  0.1250  0.7500  0.3750  4 H 1.76
Ru  0.5000  0.5000  0.0000  6 H 1.78
Ru  0.7500  0.6250  0.3750  4 H 1.76
Ho  0.6250  0.3750  0.7500  8 H 2.23-2.28
Ho  0.2500  0.6250  0.8750  8 H 2.23-2.28
Ho  0.8750  0.7500  0.1250  8 H 2.23-2.28
Ho  0.8750  0.1250  0.2500  8 H 2.23-2.28
Ho  0.6250  0.2500  0.3750  8 H 2.23-2.28
Ho  0.7500  0.8750  0.6250  8 H 2.23-2.28
Ho  0.1250  0.2500  0.8750  8 H 2.23-2.28
Ho  0.1250  0.8750  0.7500  8 H 2.23-2.28
Ho  0.2500  0.1250  0.3750  8 H 2.23-2.28
Ho  0.3750  0.6250  0.2500  8 H 2.23-2.28
Ho  0.3750  0.7500  0.6250  8 H 2.23-2.28
Ho  0.7500  0.3750  0.1250  8 H 2.23-2.28

Computed properties:
Its magnetic moment is 0.00 μB per cell. Its space group is No. 230. The value obtained for the total energy is -5.27 eV per atom.

***

[2]
HoHRu: optimized geometry, PBE.

abc: 4.3355 3.3709 3.3709
angles: 120.00 90.00 90.00
With the nearest neighbours (Å) after each atom.
Element x y z (fractional)
Ho  0.6674  0.3333  0.6667  6 H 2.91-2.92, 6 Ru 2.91
H  0.1653  0.6667  0.3333  3 Ru 1.95
Ru  0.1673  0.0000  0.0000  3 H 1.95

Computed properties:
Its magnetic moment is 0.00 μB per cell. Its space group is No. 156. The value obtained for the total energy is -5.86 eV per atom.

***

[3]
Ho2H8Ru: optimized geometry, PBE.

abc: 3.5537 4.1900 6.8162
angles: 107.93 105.11 90.00
With the nearest neighbours (Å) after each atom.
Element x y z (fractional)
H  0.7617  0.7613  0.5235  2 H 2.17, 4 Ho 2.28-2.39
H  0.6133  0.8843  0.2265  1 Ru 1.71
H  0.0000  0.8005  0.0000  1 H 1.67
H  0.2383  0.2387  0.4765  2 H 2.17, 4 Ho 2.28-2.39
H  0.3875  0.6552  0.7750  1 Ru 1.71
H  0.6125  0.3448  0.2250  1 Ru 1.71
H  0.0000  0.1995  0.0000  1 H 1.67
H  0.3867  0.1157  0.7735  1 Ru 1.71
Ru  0.5000  0.0000  0.0000  4 H 1.71
Ho  0.1467  0.6471  0.2934  10 H 2.15-2.39
Ho  0.8533  0.3529  0.7066  10 H 2.15-2.39

Computed properties:
Its magnetic moment is 0.00 μB per cell. Its space group is No. 12. The value obtained for the total energy is -4.51 eV per atom.